NdScBiSe | PBE | optimized geometry

## Properties
**Total energy**: -5.7623 eV per atom
**Uncorrected formation energy**: -1.15 eV/atom
**Space group**: R3m, No. 160

Unit cell a=4.1278 b=4.1285 c=7.8381 alpha=90.00 beta=105.26 gamma=120.00
Site moments in Bohr magnetons follow the coordinates.
Element x y z (fractional)
Nd  0.9758  0.3859  0.3767  0.20
Sc  0.2975  0.5466  0.8596  0.05
Bi  0.1180  0.9570  0.0902  0.00
Se  0.4866  0.1413  0.6432  -0.01

---

Nd2SmScBi4 | PBE | optimized geometry

## Properties
**Total energy**: -5.3650 eV per atom
**Space group**: P2/m, No. 10
**E_form**: -851.2 meV/atom

Unit cell a=4.5230 b=7.8263 c=7.8186 alpha=109.52 beta=90.00 gamma=90.00
Element x y z (fractional)
Bi  0.5000  0.7446  0.7599
Bi  0.0000  0.2641  0.7663
Nd  0.5000  0.0000  0.5000
Bi  0.0000  0.7359  0.2337
Nd  0.0000  0.5000  0.5000
Bi  0.5000  0.2554  0.2401
Sm  0.0000  0.0000  0.0000
Sc  0.5000  0.5000  0.0000

---

NdSm2ScBi5 | PBE | optimized geometry

## Properties
**Total energy**: -4.3653 eV per atom
**Space group**: P4/mmm, No. 123
**E_form**: 72.8 meV/atom

Unit cell a=5.6785 b=5.6785 c=11.4059 alpha=90.00 beta=90.00 gamma=90.00
Element x y z (fractional)
Sm  0.5000  0.5000  0.3008
Sm  0.5000  0.5000  0.6992
Bi  0.5000  0.5000  0.0000
Bi  0.0000  0.0000  0.7625
Sc  0.0000  0.0000  0.0000
Bi  0.0000  0.5000  0.5000
Bi  0.5000  0.0000  0.5000
Bi  0.0000  0.0000  0.2375
Nd  0.0000  0.0000  0.5000

---

Tb2NdSc3Bi6 | PBE | optimized geometry

## Properties
**Total energy**: -5.4657 eV per atom
**Space group**: C2/m, No. 12
**E_form**: -773.3 meV/atom

Unit cell a=7.6351 b=7.6351 c=7.6075 alpha=99.63 beta=99.63 gamma=120.03
Element x y z (fractional)
Sc  0.1643  0.8357  0.5000
Bi  0.9101  0.5723  0.7310
Bi  0.7508  0.7508  0.2670
Bi  0.5723  0.9101  0.7310
Tb  0.6673  0.3327  0.0000
Sc  0.5000  0.5000  0.5000
Sc  0.8357  0.1643  0.5000
Bi  0.4277  0.0899  0.2690
Tb  0.3327  0.6673  0.0000
Nd  0.0000  0.0000  0.0000
Bi  0.0899  0.4277  0.2690
Bi  0.2492  0.2492  0.7330

---

TbNdSc2Bi4 | PBE | optimized geometry

## Properties
**Total energy**: -5.4748 eV per atom
**Space group**: P2/m, No. 10
**E_form**: -776.7 meV/atom

Unit cell a=4.4180 b=7.6500 c=7.6266 alpha=109.54 beta=90.00 gamma=90.00
Element x y z (fractional)
Sc  0.0000  0.5000  0.5000
Bi  0.5000  0.2605  0.2708
Tb  0.5000  0.5000  0.0000
Sc  0.5000  0.0000  0.5000
Nd  0.0000  0.0000  0.0000
Bi  0.0000  0.7525  0.2683
Bi  0.0000  0.2475  0.7317
Bi  0.5000  0.7395  0.7292

---

NdScBiTe | PBE | optimized geometry

## Properties
**Total energy**: -5.5695 eV per atom
**Uncorrected formation energy**: -1.04 eV/atom
**Space group**: R3m, No. 160

Unit cell a=4.3892 b=4.3892 c=7.6026 alpha=73.22 beta=73.22 gamma=60.00
Element x y z (fractional)
Sc  0.1076  0.1076  0.6771
Te  0.3655  0.3655  0.9035
Nd  0.6071  0.6071  0.1788
Bi  0.8492  0.8492  0.4524